Version one
This record from Alexandria via LeMat-Bulk describes a geometry-optimized Re2Br structure. The functional is PBE.

CIF file:
```
data_Re2Br
_symmetry_space_group_name_H-M 'P -3 m 1'
_symmetry_Int_Tables_number 164
_symmetry_space_group_name_Hall '-P 3 2"'
_cell_length_a 4.3035
_cell_length_b 4.3035
_cell_length_c 2.9640
_cell_angle_alpha 90.00
_cell_angle_beta 90.00
_cell_angle_gamma 120.00
loop_
_atom_site_label
_atom_site_fract_x
_atom_site_fract_y
_atom_site_fract_z
Re1 0.3333 0.6667 0.2423
Br1 0.0000 0.0000 0.5000
```

Summary:
Mass density in g cm⁻³: 15.80

=====

Version two
This record from Alexandria via LeMat-Bulk describes a geometry-optimized Re2Br structure. The functional is PBE.

CIF file:
```
data_Re2Br
_symmetry_space_group_name_H-M 'C m c m'
_symmetry_Int_Tables_number 63
_symmetry_space_group_name_Hall '-C 2c 2'
_cell_length_a 3.942
_cell_length_b 20.504
_cell_length_c 3.944
_cell_angle_alpha 90.00
_cell_angle_beta 90.00
_cell_angle_gamma 90.00
loop_
_atom_site_label
_atom_site_fract_x
_atom_site_fract_y
_atom_site_fract_z
Re1 0.000 0.175 0.250
Re2 0.000 0.250 0.750
Br1 0.000 0.404 0.250
```

Summary:
Mass density in g cm⁻³: 9.43

=====

Version three
This record from Alexandria via LeMat-Bulk describes a geometry-optimized Re2Br structure. The functional is PBE.

CIF file:
```
data_Re2Br
_symmetry_space_group_name_H-M 'P n m a'
_symmetry_Int_Tables_number 62
_symmetry_space_group_name_Hall '-P 2ac 2n'
_cell_length_a 7.443
_cell_length_b 3.656
_cell_length_c 10.531
_cell_angle_alpha 90.00
_cell_angle_beta 90.00
_cell_angle_gamma 90.00
loop_
_atom_site_label
_atom_site_fract_x
_atom_site_fract_y
_atom_site_fract_z
Re1 0.021 0.250 0.162
Re2 0.128 0.250 0.938
Br1 0.051 0.750 0.363
```

Summary:
Mass density in g cm⁻³: 10.48

=====

Version four
This record from Alexandria via LeMat-Bulk describes a geometry-optimized Re2Br structure. The functional is PBE.

CIF file:
```
data_Re2Br
_symmetry_space_group_name_H-M 'P n n m'
_symmetry_Int_Tables_number 58
_symmetry_space_group_name_Hall '-P 2 2n'
_cell_length_a 2.956
_cell_length_b 7.516
_cell_length_c 4.284
_cell_angle_alpha 90.00
_cell_angle_beta 90.00
_cell_angle_gamma 90.00
loop_
_atom_site_label
_atom_site_fract_x
_atom_site_fract_y
_atom_site_fract_z
Re1 0.244 0.167 0.000
Br1 0.000 0.500 0.000
```

Summary:
Mass density in g cm⁻³: 15.79

=====

Result of the stability comparison: version two is the most stable of them.

=====

Version one
This record from Alexandria via LeMat-Bulk describes a geometry-optimized Re2Br structure. The functional is PBE.

CIF file:
```
data_Re2Br
_symmetry_space_group_name_H-M 'C 1 2/m 1'
_symmetry_Int_Tables_number 12
_symmetry_space_group_name_Hall '-C 2y'
_cell_length_a 9.662
_cell_length_b 3.069
_cell_length_c 9.982
_cell_angle_alpha 90.00
_cell_angle_beta 94.81
_cell_angle_gamma 90.00
loop_
_atom_site_label
_atom_site_fract_x
_atom_site_fract_y
_atom_site_fract_z
Re1 0.063 0.000 0.124
Re2 0.161 0.500 0.935
Br1 0.117 0.500 0.330
```

Summary:
Mass density in g cm⁻³: 10.19

=====

Version two
This record from Alexandria via LeMat-Bulk describes a geometry-optimized Re2Br structure. The functional is PBE.

CIF file:
```
data_Re2Br
_symmetry_space_group_name_H-M 'I m m m'
_symmetry_Int_Tables_number 71
_symmetry_space_group_name_Hall '-I 2 2'
_cell_length_a 2.927
_cell_length_b 4.003
_cell_length_c 8.251
_cell_angle_alpha 90.00
_cell_angle_beta 90.00
_cell_angle_gamma 90.00
loop_
_atom_site_label
_atom_site_fract_x
_atom_site_fract_y
_atom_site_fract_z
Re1 0.000 0.000 0.175
Br1 0.000 0.000 0.500
```

Summary:
Mass density in g cm⁻³: 15.54

=====

Version three
This record from Alexandria via LeMat-Bulk describes a geometry-optimized Re2Br structure. The functional is PBE.

CIF file:
```
data_Re2Br
_symmetry_space_group_name_H-M 'P 4/m m m'
_symmetry_Int_Tables_number 123
_symmetry_space_group_name_Hall '-P 4 2'
_cell_length_a 4.087
_cell_length_b 4.087
_cell_length_c 3.117
_cell_angle_alpha 90.00
_cell_angle_beta 90.00
_cell_angle_gamma 90.00
loop_
_atom_site_label
_atom_site_fract_x
_atom_site_fract_y
_atom_site_fract_z
Re1 0.000 0.500 0.000
Br1 0.000 0.000 0.500
```

Summary:
Mass density in g cm⁻³: 14.43

=====

Version four
This record from Alexandria via LeMat-Bulk describes a geometry-optimized Re2Br structure. The functional is PBE.

CIF file:
```
data_Re2Br
_symmetry_space_group_name_H-M 'C 1 m 1'
_symmetry_Int_Tables_number 8
_symmetry_space_group_name_Hall 'C -2y'
_cell_length_a 11.179
_cell_length_b 2.926
_cell_length_c 7.838
_cell_angle_alpha 90.00
_cell_angle_beta 124.82
_cell_angle_gamma 90.00
loop_
_atom_site_label
_atom_site_fract_x
_atom_site_fract_y
_atom_site_fract_z
Re1 0.000 0.000 0.000
Re2 0.042 0.500 0.759
Re3 0.292 0.000 0.009
Re4 0.431 0.500 0.356
Br1 0.193 0.500 0.291
Br2 0.201 0.000 0.628
```

Summary:
Mass density in g cm⁻³: 14.27

=====

Result of the stability comparison: version one is the most stable of them.

=====

Version one
This record from Alexandria via LeMat-Bulk describes a geometry-optimized Re2Br structure. The functional is PBE.

CIF file:
```
data_Re2Br
_symmetry_space_group_name_H-M 'C m c m'
_symmetry_Int_Tables_number 63
_symmetry_space_group_name_Hall '-C 2c 2'
_cell_length_a 3.027
_cell_length_b 19.964
_cell_length_c 4.208
_cell_angle_alpha 90.00
_cell_angle_beta 90.00
_cell_angle_gamma 90.00
loop_
_atom_site_label
_atom_site_fract_x
_atom_site_fract_y
_atom_site_fract_z
Re1 0.000 0.036 0.250
Re2 0.000 0.424 0.250
Br1 0.000 0.336 0.750
```

Summary:
Mass density in g cm⁻³: 11.81

=====

Version two
This record from Alexandria via LeMat-Bulk describes a geometry-optimized Re2Br structure. The functional is PBE.

CIF file:
```
data_Re2Br
_symmetry_space_group_name_H-M 'P 63/m m c'
_symmetry_Int_Tables_number 194
_symmetry_space_group_name_Hall '-P 6c 2c'
_cell_length_a 4.5366
_cell_length_b 4.5366
_cell_length_c 5.4295
_cell_angle_alpha 90.00
_cell_angle_beta 90.00
_cell_angle_gamma 120.00
loop_
_atom_site_label
_atom_site_fract_x
_atom_site_fract_y
_atom_site_fract_z
Re1 0.0000 0.0000 0.0000
Re2 0.3333 0.6667 0.2500
Br1 0.3333 0.6667 0.7500
```

Summary:
Mass density in g cm⁻³: 15.52

=====

Result of the stability comparison: version one is the most stable of them.

=====

Version one
This record from Alexandria via LeMat-Bulk describes a geometry-optimized ReBr3 structure. The functional is PBE.

CIF file:
```
data_ReBr3
_symmetry_space_group_name_H-M 'R -3 m'
_symmetry_Int_Tables_number 166
_symmetry_space_group_name_Hall '-R 3 2"'
_cell_length_a 3.0667
_cell_length_b 3.0667
_cell_length_c 36.8949
_cell_angle_alpha 90.00
_cell_angle_beta 90.00
_cell_angle_gamma 120.00
loop_
_atom_site_label
_atom_site_fract_x
_atom_site_fract_y
_atom_site_fract_z
Re1 0.0000 0.0000 0.0000
Br1 0.0000 0.0000 0.0645
Br2 0.0000 0.0000 0.5000
```

Summary:
Mass density in g cm⁻³: 7.06

=====

Version two
This record from Alexandria via LeMat-Bulk describes a geometry-optimized ReBr3 structure. The functional is PBE.

CIF file:
```
data_ReBr3
_symmetry_space_group_name_H-M 'I m m m'
_symmetry_Int_Tables_number 71
_symmetry_space_group_name_Hall '-I 2 2'
_cell_length_a 3.159
_cell_length_b 4.937
_cell_length_c 13.885
_cell_angle_alpha 90.00
_cell_angle_beta 90.00
_cell_angle_gamma 90.00
loop_
_atom_site_label
_atom_site_fract_x
_atom_site_fract_y
_atom_site_fract_z
Re1 0.000 0.000 0.000
Br1 0.000 0.000 0.500
Br2 0.000 0.500 0.353
```

Summary:
Mass density in g cm⁻³: 6.53

=====

Version three
This record from Alexandria via LeMat-Bulk describes a geometry-optimized ReBr3 structure. The functional is PBE.

CIF file:
```
data_ReBr3
_symmetry_space_group_name_H-M 'C m c m'
_symmetry_Int_Tables_number 63
_symmetry_space_group_name_Hall '-C 2c 2'
_cell_length_a 12.112
_cell_length_b 13.774
_cell_length_c 3.426
_cell_angle_alpha 90.00
_cell_angle_beta 90.00
_cell_angle_gamma 90.00
loop_
_atom_site_label
_atom_site_fract_x
_atom_site_fract_y
_atom_site_fract_z
Re1 0.000 0.059 0.250
Br1 0.000 0.416 0.250
Br2 0.177 0.134 0.250
```

Summary:
Mass density in g cm⁻³: 4.95

=====

Version four
This record from Alexandria via LeMat-Bulk describes a geometry-optimized ReBr3 structure. The functional is PBE.

CIF file:
```
data_ReBr3
_symmetry_space_group_name_H-M 'P m -3 m'
_symmetry_Int_Tables_number 221
_symmetry_space_group_name_Hall '-P 4 2 3'
_cell_length_a 4.654
_cell_length_b 4.654
_cell_length_c 4.654
_cell_angle_alpha 90.00
_cell_angle_beta 90.00
_cell_angle_gamma 90.00
loop_
_atom_site_label
_atom_site_fract_x
_atom_site_fract_y
_atom_site_fract_z
Re1 0.000 0.000 0.000
Br1 0.000 0.500 0.500
```

Summary:
Mass density in g cm⁻³: 7.02

=====

Result of the stability comparison: version three is the most stable of them.